[1]
A plane-wave DFT calculation with PBE was carried out for a relaxed Li3Zn crystal.

abc: 2.940 2.940 7.943
angles: 90.00 90.00 90.02
Element x y z (fractional)
Li 0.500 0.500 0.750
Li 0.000 0.000 0.475
Li 0.000 0.000 0.025
Zn 0.500 0.500 0.250

## Properties
The calculation puts the magnetic moment at 0.00 μB/atom. For the formation energy, the calculation gives -0.0870 eV/atom. Its symmetry is No. 123.

=====

[2]
A plane-wave DFT calculation with PBE was carried out for a relaxed Pt2PbSe2 crystal.

abc: 4.900 4.900 5.723
angles: 64.65 64.65 90.00
Element x y z (fractional)
Se 0.750 0.250 0.500
Se 0.250 0.750 0.500
Pt 0.660 0.660 0.680
Pt 0.340 0.340 0.320
Pb 0.000 0.000 0.000

## Properties
The calculation puts the magnetic moment at 0.00 μB/atom. The energy relative to the elements, uncorrected is -0.056 eV per atom. Its symmetry is No. 139.

=====

[3]
A plane-wave DFT calculation with PBE was carried out for a relaxed MnMoP crystal.

abc: 2.789 2.789 5.862
angles: 90.00 90.00 120.00
Element x y z (fractional)
Mo 0.333 0.667 0.337
P 0.667 0.333 0.690
Mn 0.000 0.000 0.973

## Properties
The calculation puts the magnetic moment at 0.37 μB/atom. For the formation energy, the calculation gives 0.0287 eV/atom. Its symmetry is No. 156.

=====

[4]
A plane-wave DFT calculation with PBE was carried out for a relaxed Na3Mg crystal.

abc: 3.411 3.411 11.610
angles: 90.00 90.00 108.87
Element x y z (fractional)
Na 0.000 0.000 0.017
Na 0.500 0.500 0.750
Na 0.000 0.000 0.483
Mg 0.500 0.500 0.250

## Properties
The calculation puts the magnetic moment at 0.00 μB/atom. For the formation energy, the calculation gives 0.0777 eV/atom. Its symmetry is No. 65.

=====

[5]
A plane-wave DFT calculation with PBE was carried out for a relaxed ScPaGa2 crystal.

abc: 4.915 4.915 4.915
angles: 60.00 60.00 60.00
Element x y z (fractional)
Pa 0.000 0.000 0.000
Ga 0.250 0.250 0.250
Ga 0.750 0.750 0.750
Sc 0.500 0.500 0.500

## Properties
The calculation puts the magnetic moment at 0.21 μB/atom. For the formation energy, the calculation gives -0.3323 eV/atom. Its symmetry is No. 225.

=====

[6]
A plane-wave DFT calculation with PBE was carried out for a relaxed B5C7 crystal.

abc: 4.533 4.533 5.317
angles: 102.46 102.46 48.20
Element x y z (fractional)
B 0.616 0.051 0.417
B 0.353 0.359 0.704
B 0.893 0.426 0.563
B 0.307 0.314 0.130
B 0.240 0.774 0.270
C 0.612 0.055 0.917
C 0.665 0.660 0.311
C 0.249 0.773 0.762
C 0.994 0.997 0.996
C 0.007 0.001 0.522
C 0.670 0.673 0.838
C 0.894 0.417 0.072

## Properties
The calculation puts the magnetic moment at 0.00 μB/atom. For the formation energy, the calculation gives 0.3948 eV/atom. Its symmetry is No. 5.

=====

[7]
A plane-wave DFT calculation with PBE was carried out for a relaxed TaTiGe3 crystal.

abc: 4.926 4.926 4.926
angles: 90.00 90.00 90.00
Element x y z (fractional)
Ge 0.000 0.500 0.000
Ge 0.500 0.000 0.000
Ge 0.000 0.000 0.500
Ti 0.500 0.500 0.500
Ta 0.000 0.000 0.000

## Properties
The calculation puts the magnetic moment at 0.00 μB/atom. For the formation energy, the calculation gives 0.7786 eV/atom. Its symmetry is No. 221.

=====

[8]
A plane-wave DFT calculation with PBE was carried out for a relaxed Na2Cd3AgSn4 crystal.

abc: 4.541 4.541 13.264
angles: 90.00 90.00 90.00
Element x y z (fractional)
Sn 0.000 0.000 0.000
Sn 0.000 0.500 0.365
Sn 0.500 0.500 0.000
Sn 0.500 0.000 0.635
Ag 0.500 0.500 0.500
Cd 0.500 0.000 0.847
Cd 0.000 0.000 0.500
Cd 0.000 0.500 0.153
Na 0.500 0.000 0.276
Na 0.000 0.500 0.724

## Properties
The calculation puts the magnetic moment at 0.00 μB/atom. For the formation energy, the calculation gives -0.0659 eV/atom. Its symmetry is No. 115.

=====

[9]
A plane-wave DFT calculation with PBE was carried out for a relaxed ScIn2Au crystal.

abc: 9.284 9.284 9.284
angles: 21.67 21.67 21.67
Element x y z (fractional)
Au 0.755 0.755 0.755
Sc 0.490 0.490 0.490
In 0.247 0.247 0.247
In 0.007 0.007 0.007

## Properties
The calculation puts the magnetic moment at 0.00 μB/atom. For the formation energy, the calculation gives -0.2674 eV/atom. Its symmetry is No. 160.

=====

[10]
A plane-wave DFT calculation with PBE was carried out for a relaxed LiReRh2Cl crystal.

abc: 4.633 5.432 4.633
angles: 90.00 90.00 90.00
Element x y z (fractional)
Re 0.000 0.000 0.000
Rh 0.500 0.000 0.000
Rh 0.000 0.000 0.500
Li 0.000 0.500 0.000
Cl 0.500 0.500 0.500

## Properties
The calculation puts the magnetic moment at 0.00 μB/atom. The energy relative to the elements, uncorrected is 0.973 eV per atom. Its symmetry is No. 123.

=====

[11]
A plane-wave DFT calculation with PBE was carried out for a relaxed La2Pa2Se7 crystal.

abc: 4.103 9.105 9.105
angles: 60.72 76.98 76.98
Element x y z (fractional)
La 0.500 0.327 0.673
La 0.000 0.783 0.217
Se 0.500 0.014 0.986
Se 0.814 0.079 0.293
Se 0.186 0.707 0.921
Se 0.383 0.723 0.511
Se 0.617 0.489 0.277
Se 0.853 0.422 0.873
Se 0.147 0.127 0.578
Pa 0.741 0.851 0.668
Pa 0.259 0.332 0.149

## Properties
The calculation puts the magnetic moment at 0.15 μB/atom. The energy relative to the elements, uncorrected is -1.645 eV per atom. Its symmetry is No. 44.

=====

[12]
A plane-wave DFT calculation with PBE was carried out for a relaxed CsMgHgI2 crystal.

abc: 7.264 6.850 7.264
angles: 90.00 90.00 90.00
Element x y z (fractional)
Hg 0.000 0.500 0.000
Mg 0.500 0.500 0.500
Cs 0.000 0.000 0.000
I 0.000 0.000 0.500
I 0.500 0.000 0.000

## Properties
The calculation puts the magnetic moment at 0.20 μB/atom. The energy relative to the elements, uncorrected is -0.153 eV per atom. Its symmetry is No. 123.

=====

[13]
A plane-wave DFT calculation with PBE was carried out for a relaxed ScZn10Ag2 crystal.

abc: 5.400 6.706 6.920
angles: 80.96 67.04 66.26
Element x y z (fractional)
Zn 0.992 0.359 0.656
Zn 0.000 0.500 0.000
Zn 0.649 0.359 0.344
Zn 0.495 0.214 0.795
Zn 0.500 0.500 0.000
Zn 0.008 0.641 0.344
Zn 0.505 0.786 0.205
Zn 0.290 0.214 0.205
Zn 0.710 0.786 0.795
Zn 0.351 0.641 0.656
Ag 0.000 0.000 0.500
Ag 0.500 0.000 0.500
Sc 0.000 0.000 0.000

## Properties
The calculation puts the magnetic moment at 0.00 μB/atom. For the formation energy, the calculation gives -0.0887 eV/atom. Its symmetry is No. 69.

=====

[14]
A plane-wave DFT calculation with PBE was carried out for a relaxed Th2FeAu crystal.

abc: 3.484 3.484 7.728
angles: 90.00 90.00 90.00
Element x y z (fractional)
Au 0.500 0.500 0.500
Fe 0.500 0.500 0.000
Th 0.000 0.000 0.777
Th 0.000 0.000 0.223

## Properties
The calculation puts the magnetic moment at 0.24 μB/atom. For the formation energy, the calculation gives -0.2298 eV/atom. Its symmetry is No. 123.